Entry 1:
Material: TmSeCl
Method: DFT, PBE
State: optimized geometry

Geometry as CIF:
```
data_TmSeCl
_chemical_formula_sum 'Tm16 Se16 Cl16'
_cell_length_a 11.104
_cell_length_b 13.192
_cell_length_c 8.737
_cell_angle_alpha 90.00
_cell_angle_beta 90.00
_cell_angle_gamma 90.00
_symmetry_space_group_name_H-M 'F d d 2'
_symmetry_Int_Tables_number 43
_symmetry_space_group_name_Hall 'F 2 -2d'
loop_
_atom_site_label
_atom_site_type_symbol
_atom_site_fract_x
_atom_site_fract_y
_atom_site_fract_z
Tm1 Tm 0.064 0.283 0.000
Se1 Se 0.037 0.364 0.295
Cl1 Cl 0.108 0.359 0.719
```

Computed properties:
formation energy (no corrections) = -1.9814 eV per atom
calculated volume = 80.0 Å³/f.u.
ρ = 5.882 g cm⁻³
size of the total moment = 0.0 Bohr magnetons per cell

***

Entry 2:
Material: TmSeCl
Method: DFT, PBE
State: optimized geometry

Geometry as CIF:
```
data_TmSeCl
_chemical_formula_sum 'Tm2 Se2 Cl2'
_cell_length_a 6.831
_cell_length_b 4.029
_cell_length_c 6.899
_cell_angle_alpha 90.00
_cell_angle_beta 95.79
_cell_angle_gamma 90.00
_symmetry_space_group_name_H-M 'P 1 2/m 1'
_symmetry_Int_Tables_number 10
_symmetry_space_group_name_Hall '-P 2y'
loop_
_atom_site_label
_atom_site_type_symbol
_atom_site_fract_x
_atom_site_fract_y
_atom_site_fract_z
Tm1 Tm 0.000 0.000 0.000
Tm2 Tm 0.000 0.500 0.500
Se1 Se 0.225 0.000 0.696
Cl1 Cl 0.214 0.500 0.180
```

Computed properties:
formation energy (no corrections) = -1.9434 eV per atom
calculated volume = 94.4 Å³/f.u.
ρ = 4.982 g cm⁻³
size of the total moment = 0.0 Bohr magnetons per cell

***

Entry 3:
Material: Tm2SeCl
Method: DFT, PBE
State: optimized geometry

Geometry as CIF:
```
data_Tm2SeCl
_chemical_formula_sum 'Tm6 Se3 Cl3'
_cell_length_a 3.6493
_cell_length_b 3.6493
_cell_length_c 23.8843
_cell_angle_alpha 90.00
_cell_angle_beta 90.00
_cell_angle_gamma 120.00
_symmetry_space_group_name_H-M 'R 3 m'
_symmetry_Int_Tables_number 160
_symmetry_space_group_name_Hall 'R 3 -2"'
loop_
_atom_site_label
_atom_site_type_symbol
_atom_site_fract_x
_atom_site_fract_y
_atom_site_fract_z
Tm1 Tm 0.0000 0.0000 0.0000
Tm2 Tm 0.0000 0.0000 0.1776
Se1 Se 0.0000 0.0000 0.5901
Cl1 Cl 0.0000 0.0000 0.7535
```

Computed properties:
energy above the lowest structure with this stoichiometry = 14 meV per atom
formation energy (no corrections) = -1.3093 eV per atom
calculated volume = 91.8 Å³/f.u.
ρ = 8.179 g cm⁻³
size of the total moment = 1.6 Bohr magnetons per cell

***

What is the formula in the second record?
TmSeCl

***

Which of these has the lowest ρ?
number 2